RbNpNiF6 | Alexandria via LeMat-Bulk | GGA+U | optimized geometry; space group = Imma; total moment = 6.00 μB/f.u.; DOS(E_F) = 0.687 states/eV/atom; total energy = -106.824 eV/cell; calculated volume = 301 Å³ per cell; density = 5.46 g cm⁻³
1.0
7.8967 0.0000 0.0000
0.0000 7.4143 0.0000
-3.9484 -3.7072 5.1476
F Ni Np Rb
12 2 2 2
Direct
0.4181 0.1681 0.8363
0.4493 0.1566 0.2684
0.1294 0.8794 0.2587
0.4493 0.6119 0.2684
0.5819 0.8319 0.1637
0.1809 0.8434 0.7316
0.5507 0.3881 0.7316
0.5507 0.8434 0.7316
0.8191 0.1566 0.2684
0.8191 0.6119 0.2684
0.1809 0.3881 0.7316
0.8706 0.1206 0.7413
0.5000 0.0000 0.0000
0.5000 0.5000 0.0000
0.5000 0.0000 0.5000
0.0000 0.0000 0.5000
0.8325 0.5825 0.6651
0.1675 0.4175 0.3349